## Sn5GeRh3 (PBE-GGA)

Data for a geometry-optimized Sn5GeRh3 structure.

Geometry as POSCAR:
```
Sn5GeRh3
1.0
-5.847 1.681 4.031
-4.815 -5.142 -1.908
-1.651 -6.286 6.935
Rh Sn Ge
6 10 2
Direct
0.339 0.339 0.174
0.299 0.299 0.686
0.000 0.000 0.000
0.000 0.000 0.500
0.661 0.661 0.826
0.701 0.701 0.314
0.286 0.714 0.000
0.714 0.286 0.000
0.445 0.445 0.364
0.234 0.234 0.990
0.611 0.039 0.656
0.766 0.766 0.010
0.389 0.961 0.344
0.555 0.555 0.636
0.961 0.389 0.344
0.039 0.611 0.656
0.081 0.081 0.697
0.919 0.919 0.303
```

Calculated values
As for the calculated total energy: -5.475 eV per atom. For the volume, the calculation gives 23.77 A^3/atom. The calculation puts the formation energy at -288 meV/atom.